No. 1
## Sc2BPd (GGA-PBEsol)

Data for an optimized crystal structure of Sc2BPd.

abc: 3.1147 3.1147 9.0869
angles: 80.13 80.13 60.00
Closest atoms and distances in Å follow each position.
Fractional positions:
Sc 0.0889 0.0889 0.7334  1 B 2.38
Sc 0.9111 0.9111 0.2666  1 B 2.38
B 0.0000 0.0000 0.0000  2 Sc 2.38
Pd 0.5000 0.5000 0.5000  6 Sc 2.75

Uncorrected energy = -5.908 eV per atom
Space group = R-3m, No. 166
Formation energy = 0.639 eV/atom

No. 2
## Si3BPd (GGA-PBEsol)

Data for an optimized crystal structure of Si3BPd.

abc: 4.5779 4.5779 4.5779
angles: 90.00 90.00 90.00
Closest atoms and distances in Å follow each position.
Fractional positions:
Pd 0.0000 0.0000 0.0000  6 Si 2.29
B 0.5000 0.5000 0.5000  12 Si 3.24
Si 0.0000 0.5000 0.0000  2 Pd 2.29
Si 0.5000 0.0000 0.0000  2 Pd 2.29
Si 0.0000 0.0000 0.5000  2 Pd 2.29

Uncorrected energy = -4.671 eV per atom
Space group = Pm-3m, No. 221